1.
Al3ZnPd4 | Alexandria via LeMat-Bulk | PBE | relaxed; space group = R-3m, No. 166; ΔH_f (0 K) = -6.4 eV/f.u.
1.0
-2.700 3.339 0.663
-3.932 0.015 -1.849
-4.896 -2.182 5.288
Zn Al Pd
1 3 4
direct
0.000 0.000 0.000 Zn
0.252 0.252 0.244 Al
0.748 0.748 0.756 Al
0.500 0.500 0.500 Al
0.873 0.873 0.381 Pd
0.377 0.377 0.868 Pd
0.127 0.127 0.619 Pd
0.623 0.623 0.132 Pd

2.
Tb2Pm3Pr7 | Alexandria via LeMat-Bulk | PBE | relaxed; space group = P2/m, No. 10; energy relative to the lowest polymorph listed for this composition = 0.000 eV/atom; ΔH_f (0 K) = 0.8 eV/f.u.
1.0
3.609 0.000 0.000
0.000 6.525 0.794
0.000 2.523 18.273
Tb Pm Pr
2 3 7
direct
0.500 0.612 0.330 Tb
0.500 0.388 0.670 Tb
0.500 0.500 0.000 Pm
0.000 0.116 0.339 Pm
0.000 0.884 0.661 Pm
0.500 0.239 0.505 Pr
0.500 0.761 0.495 Pr
0.000 0.558 0.168 Pr
0.000 0.000 0.000 Pr
0.000 0.442 0.832 Pr
0.500 0.947 0.829 Pr
0.500 0.053 0.171 Pr

3.
SiIr2Cl | Alexandria via LeMat-Bulk | PBE | relaxed; space group = C2/m, No. 12; energy relative to the elements, uncorrected = -2.27 kcal/mol of atoms; energy relative to the lowest polymorph listed for this composition = 0.126 eV/atom
1.0
3.838 0.004 -0.012
2.736 2.691 -0.012
-2.451 -1.005 7.112
Cl Ir Si
1 2 1
direct
0.250 0.250 0.250 Cl
0.103 0.103 0.919 Ir
0.397 0.397 0.581 Ir
0.750 0.750 0.750 Si

4.
Na3HoPb4 | Alexandria via LeMat-Bulk | PBE | relaxed; space group = C2/m, No. 12; ΔH_f (0 K) = -1.8 eV/f.u.
1.0
4.840 0.000 -1.306
-0.347 4.832 -1.286
0.025 -0.022 9.711
Pb Na Ho
4 3 1
direct
0.380 0.380 0.759 Pb
0.620 0.620 0.241 Pb
0.120 0.121 0.241 Pb
0.880 0.879 0.759 Pb
0.000 0.500 0.000 Na
0.748 0.248 0.497 Na
0.252 0.752 0.503 Na
0.500 0.000 0.000 Ho

Computed values of total magnetic moment (unit: μB per cell) for the preceding records, in sequence: 0.00 0.00 0.00 0.00.
Computed values of electronic total energy (unit: eV/atom) for the preceding records, in sequence: -4.96 -4.68 -6.35 -3.15.